# BaHgBi, relaxed, DFT PBE
# **Energy relative to the lowest polymorph listed for this composition**: 25.1 kJ/mol of formula units
# **Density of states at the Fermi level**: 1.5 states/eV/f.u.
# **Calculated formation energy**: -501 meV per atom
# **Total DFT energy (no corrections)**: -2.536 eV/atom
data_BaHgBi
_cell_length_a 4.134
_cell_length_b 4.134
_cell_length_c 12.302
_cell_angle_alpha 90.00
_cell_angle_beta 90.00
_cell_angle_gamma 90.00
_symmetry_space_group_name_H-M 'I 4 m m'
_symmetry_Int_Tables_number 107
_symmetry_space_group_name_Hall 'I 4 -2'
loop_
_atom_site_label
_atom_site_type_symbol
_atom_site_fract_x
_atom_site_fract_y
_atom_site_fract_z
Ba1 Ba 0.000 0.000 0.000
Hg1 Hg 0.000 0.000 0.671
Bi1 Bi 0.000 0.000 0.305

# NdEr6Tm4, relaxed, DFT PBE
# **Energy relative to the lowest polymorph listed for this composition**: 349.0 kJ/mol of formula units
# **Density of states at the Fermi level**: 17.0 states/eV/f.u.
# **Calculated formation energy**: 452 meV per atom
# **Total DFT energy (no corrections)**: -4.096 eV/atom
data_NdEr6Tm4
_cell_length_a 7.551
_cell_length_b 7.551
_cell_length_c 13.010
_cell_angle_alpha 90.00
_cell_angle_beta 90.00
_cell_angle_gamma 90.00
_symmetry_space_group_name_H-M 'I -4 2 m'
_symmetry_Int_Tables_number 121
_symmetry_space_group_name_Hall 'I -4 2'
loop_
_atom_site_label
_atom_site_type_symbol
_atom_site_fract_x
_atom_site_fract_y
_atom_site_fract_z
Nd1 Nd 0.000 0.000 0.000
Er1 Er 0.000 0.500 0.000
Er2 Er 0.245 0.245 0.186
Tm1 Tm 0.161 0.161 0.422

# AgBr, relaxed, DFT PBE
# **Total DFT energy (no corrections)**: -2.516 eV/atom
data_AgBr
_cell_length_a 5.996
_cell_length_b 5.996
_cell_length_c 5.996
_cell_angle_alpha 90.00
_cell_angle_beta 90.00
_cell_angle_gamma 90.00
_symmetry_space_group_name_H-M 'P 21 3'
_symmetry_Int_Tables_number 198
_symmetry_space_group_name_Hall 'P 2ac 2ab 3'
loop_
_atom_site_label
_atom_site_type_symbol
_atom_site_fract_x
_atom_site_fract_y
_atom_site_fract_z
Ag1 Ag 0.098 0.402 0.598
Br1 Br 0.027 0.973 0.473

# Ho5Er5Tm, relaxed, DFT PBE
# **Energy relative to the lowest polymorph listed for this composition**: 0.0 kJ/mol of formula units
# **Density of states at the Fermi level**: 16.8 states/eV/f.u.
# **Calculated formation energy**: 152 meV per atom
# **Total DFT energy (no corrections)**: -4.410 eV/atom
data_Ho5Er5Tm
_cell_length_a 6.797
_cell_length_b 6.802
_cell_length_c 8.300
_cell_angle_alpha 75.85
_cell_angle_beta 75.95
_cell_angle_gamma 70.97
_symmetry_space_group_name_H-M 'P -1'
_symmetry_Int_Tables_number 2
_symmetry_space_group_name_Hall '-P 1'
loop_
_atom_site_label
_atom_site_type_symbol
_atom_site_fract_x
_atom_site_fract_y
_atom_site_fract_z
Ho1 Ho 0.000 0.000 0.000
Ho2 Ho 0.147 0.145 0.360
Ho3 Ho 0.305 0.300 0.647
Er1 Er 0.229 0.648 0.286
Er2 Er 0.351 0.767 0.716
Er3 Er 0.500 0.000 0.000
Tm1 Tm 0.000 0.500 0.000